Record 1
First-principles (GGA-PBE) data for a relaxed TeSeF2 crystal, as listed in the Alexandria database.

```
TeSeF2
1.0
3.1044 0.0000 0.0000
-1.5522 2.6885 0.0000
0.0000 0.0000 28.7576
Te Se F
3 3 6
direct
0.0000 0.0000 0.0000 Te
0.3333 0.6667 0.6667 Te
0.6667 0.3333 0.3333 Te
0.0000 0.0000 0.5000 Se
0.3333 0.6667 0.1667 Se
0.6667 0.3333 0.8333 Se
0.0000 0.0000 0.4347 F
0.0000 0.0000 0.5653 F
0.3333 0.6667 0.1013 F
0.3333 0.6667 0.2320 F
0.6667 0.3333 0.7680 F
0.6667 0.3333 0.8987 F
```

Properties
Space-group type   R-3m
Excess energy over the best structure of this formula in the dataset   394 meV per atom
E_form (uncorrected)   -17.69 kcal/mol of atoms

***

Record 2
First-principles (GGA-PBE) data for a relaxed GaCu crystal, as listed in the Alexandria database.

```
GaCu
1.0
4.6693 0.0000 0.0000
0.0000 5.1544 0.0000
0.0000 0.0000 9.5072
Ga Cu
8 8
direct
0.1616 0.1694 0.0680 Ga
0.1702 0.5145 0.8021 Ga
0.3298 0.4855 0.3021 Ga
0.3384 0.8306 0.5680 Ga
0.6616 0.3306 0.9320 Ga
0.6702 0.9855 0.1979 Ga
0.8298 0.0145 0.6979 Ga
0.8384 0.6694 0.4320 Ga
0.1709 0.3157 0.5582 Cu
0.1715 0.0114 0.3320 Cu
0.3285 0.9886 0.8320 Cu
0.3291 0.6843 0.0582 Cu
0.6709 0.1843 0.4418 Cu
0.6715 0.4886 0.6680 Cu
0.8285 0.5114 0.1680 Cu
0.8291 0.8157 0.9418 Cu
```

Properties
Space-group type   P2_12_12_1
E_form   -0.03 eV/atom

***

Record 3
First-principles (GGA-PBE) data for a relaxed Ce3As4Pt2 crystal, as listed in the Alexandria database.

```
Ce3As4Pt2
1.0
5.8415 -2.1988 0.0000
5.8415 2.1988 0.0000
-2.9564 0.0000 7.9747
Ce As Pt
3 4 2
direct
0.0000 0.0000 0.0000 Ce
0.3297 0.3297 0.3053 Ce
0.6703 0.6703 0.6947 Ce
0.0824 0.0824 0.4234 As
0.3091 0.3091 0.9124 As
0.6909 0.6909 0.0876 As
0.9176 0.9176 0.5766 As
0.4184 0.4184 0.7031 Pt
0.5816 0.5816 0.2969 Pt
```

Properties
Space-group type   C2/m
Excess energy over the best structure of this formula in the dataset   13 meV per atom
E_form   -1.05 eV/atom

***

Spin magnetization (μB/cell)
0.0 0.0 1.9
Ρ (Mg/m³)
5.1 7.7 9.0